# La8P3I4Br | the Alexandria database | PBE | relaxed
# V	31.38	A^3/atom
# total DFT energy (no corrections)	-5.35	eV per atom
# raw formation energy	-1375	meV/atom
# DOS at the Fermi energy	28.07	states/eV per cell
# theoretical density	5.9	Mg/m³
data_La8P3I4Br
_symmetry_space_group_name_H-M 'R -3 m'
_symmetry_Int_Tables_number 166
_symmetry_space_group_name_Hall '-R 3 2"'
_cell_length_a 8.6132
_cell_length_b 8.6132
_cell_length_c 23.4478
_cell_angle_alpha 90.00
_cell_angle_beta 90.00
_cell_angle_gamma 120.00
loop_
_atom_site_label
_atom_site_fract_x
_atom_site_fract_y
_atom_site_fract_z
_atom_site_occupancy
La1 0.0000 0.0000 0.2315 1
La2 0.0165 0.5083 0.7670 1
P1 0.0000 0.5000 0.5000 1
I1 0.0000 0.0000 0.0000 1
I2 0.0000 0.5000 0.0000 1
Br1 0.0000 0.0000 0.5000 1